Here is an optimized crystal structure of La2IrPd from Alexandria via LeMat-Bulk. Energies are from GGA-PBEsol.

a b c (Å): 5.044 5.044 5.044
angles (deg): 60.00 60.00 60.00
Atoms (fractional coordinates):
Ir 0.500 0.500 0.500
La 0.250 0.250 0.250
La 0.750 0.750 0.750
Pd 0.000 0.000 0.000

Calculated values
ΔH_f (0 K) = -0.661 eV per atom
V = 90.8 Å³/cell